[1]
Below is an optimized crystal structure of Tm2MnIr, with properties calculated at the GGA-PBE level.

Calculated values
Uncorrected energy in eV/atom: -7.137
ρ in kg/m3: 12241
Density of states at the Fermi level in states/eV per cell: 3.68

Unit cell a=3.368 b=4.854 c=4.854 alpha=90.00 beta=90.00 gamma=90.00
Positions (direct):
Ir1 0.500 0.500 0.500
Tm1 0.000 0.000 0.500
Tm2 0.000 0.500 0.000
Mn1 0.500 0.000 0.000

***

[2]
Below is an optimized crystal structure of CeHo4Rh3, with properties calculated at the GGA-PBE level.

Calculated values
Uncorrected energy in eV/atom: -6.465
ρ in kg/m3: 10055
Density of states at the Fermi level in states/eV per cell: 17.05

Unit cell a=5.992 b=8.371 c=8.371 alpha=82.64 beta=69.03 gamma=69.03
Positions (direct):
Rh1 0.750 0.000 0.000
Rh2 0.250 0.000 0.000
Rh3 0.342 0.816 0.500
Rh4 0.658 0.184 0.500
Rh5 0.158 0.500 0.184
Rh6 0.842 0.500 0.816
Ho1 0.417 0.292 0.874
Ho2 0.583 0.708 0.126
Ho3 0.709 0.874 0.708
Ho4 0.083 0.126 0.708
Ho5 0.291 0.126 0.292
Ho6 0.917 0.874 0.292
Ho7 0.791 0.292 0.126
Ho8 0.209 0.708 0.874
Ce1 0.750 0.500 0.500
Ce2 0.250 0.500 0.500

***

[3]
Below is an optimized crystal structure of CaAl2P, with properties calculated at the GGA-PBE level.

Calculated values
Uncorrected energy in eV/atom: -4.139
ρ in kg/m3: 2482
Density of states at the Fermi level in states/eV per cell: 1.12

Unit cell a=3.708 b=4.044 c=5.577 alpha=90.04 beta=90.00 gamma=90.00
Positions (direct):
P1 0.500 0.875 0.780
Ca1 0.000 0.375 0.549
Al1 0.000 0.875 0.098
Al2 0.500 0.375 0.073

***

[4]
Below is an optimized crystal structure of MnCrCu4, with properties calculated at the GGA-PBE level.

Calculated values
Uncorrected energy in eV/atom: -5.710
ρ in kg/m3: 7608
Density of states at the Fermi level in states/eV per cell: 4.06

Unit cell a=4.813 b=4.813 c=4.813 alpha=60.00 beta=60.00 gamma=60.00
Positions (direct):
Mn1 0.750 0.750 0.750
Cr1 0.000 0.000 0.000
Cu1 0.875 0.375 0.375
Cu2 0.375 0.375 0.875
Cu3 0.375 0.875 0.375
Cu4 0.375 0.375 0.375

***

Number 1: volume 79.4 Å³/cell. Number 2: volume 366.1 Å³/cell. Number 3: volume 83.6 Å³/cell. Number 4: volume 78.8 Å³/cell.